(1)
# ZnCl5

A relaxed structure of ZnCl5 (PBEsol, Alexandria).

Unit cell a=7.4214 b=7.4214 c=7.4258 alpha=92.45 beta=92.45 gamma=24.49
Closest atoms and distances in Å follow each position.
Sites, in units of the cell vectors:
Zn: 0.0000 0.0000 0.0000  5 Cl 2.28-2.36
Cl: 0.1517 0.1517 0.9314  1 Zn 2.28
Cl: 0.4300 0.4300 0.7998  2 Zn 2.36
Cl: 0.4881 0.4881 0.2315  2 Zn 2.34
Cl: 0.7417 0.7417 0.2521  1 Cl 1.98
Cl: 0.8081 0.8081 0.4909  1 Cl 1.98

## Properties
Space group   Cm
ΔE_f (raw)   -0.40 eV per atom
E   -14.0 eV for the cell shown

(2)
# LiCuPO4

A relaxed structure of LiCuPO4 (PBEsol, Alexandria).

Unit cell a=8.4105 b=8.4105 c=8.4105 alpha=107.71 beta=107.71 gamma=107.71
Closest atoms and distances in Å follow each position.
Sites, in units of the cell vectors:
Li: 0.0191 0.1886 0.7923  4 O 1.93-2.00
Li: 0.1886 0.7923 0.0191  4 O 1.93-2.00
Li: 0.3049 0.7214 0.4980  4 O 1.88-1.96
Li: 0.4980 0.3049 0.7214  4 O 1.88-1.96
Li: 0.7214 0.4980 0.3049  4 O 1.88-1.96
Li: 0.7923 0.0191 0.1886  4 O 1.93-2.00
Cu: 0.1490 0.9888 0.3797  4 O 1.91-1.96
Cu: 0.3797 0.1490 0.9888  4 O 1.91-1.96
Cu: 0.4536 0.6851 0.8756  4 O 1.89-2.01
Cu: 0.6851 0.8756 0.4536  4 O 1.89-2.01
Cu: 0.8756 0.4536 0.6851  4 O 1.89-2.01
Cu: 0.9888 0.3797 0.1490  4 O 1.91-1.96
P: 0.0402 0.8197 0.6375  4 O 1.54-1.55
P: 0.1320 0.3435 0.5279  4 O 1.54-1.56
P: 0.3435 0.5279 0.1320  4 O 1.54-1.56
P: 0.5279 0.1320 0.3435  4 O 1.54-1.56
P: 0.6375 0.0402 0.8197  4 O 1.54-1.55
P: 0.8197 0.6375 0.0402  4 O 1.54-1.55
O: 0.0162 0.2580 0.3146  1 P 1.55
O: 0.1441 0.8452 0.5170  1 P 1.55
O: 0.1821 0.8958 0.8409  1 P 1.54
O: 0.2371 0.5727 0.2484  1 P 1.55
O: 0.2484 0.2371 0.5727  1 P 1.55
O: 0.2580 0.3146 0.0162  1 P 1.55
O: 0.2608 0.5517 0.6097  1 P 1.54
O: 0.3055 0.6164 0.9947  1 P 1.56
O: 0.3146 0.0162 0.2580  1 P 1.55
O: 0.5170 0.1441 0.8452  1 P 1.55
O: 0.5517 0.6097 0.2608  1 P 1.54
O: 0.5584 0.9131 0.6113  1 P 1.54
O: 0.5727 0.2484 0.2371  1 P 1.55
O: 0.6097 0.2608 0.5517  1 P 1.54
O: 0.6113 0.5584 0.9131  1 P 1.54
O: 0.6164 0.9947 0.3055  1 P 1.56
O: 0.6299 0.9214 0.9287  1 P 1.55
O: 0.8409 0.1821 0.8958  1 P 1.54
O: 0.8452 0.5170 0.1441  1 P 1.55
O: 0.8958 0.8409 0.1821  1 P 1.54
O: 0.9131 0.6113 0.5584  1 P 1.54
O: 0.9214 0.9287 0.6299  1 P 1.55
O: 0.9287 0.6299 0.9214  1 P 1.55
O: 0.9947 0.3055 0.6164  1 P 1.56

## Properties
Excess energy over the best structure of this formula in the dataset   0.025 eV per atom
Space group   R3
ΔE_f (raw)   -1.78 eV per atom
E   -273.4 eV for the cell shown

(3)
# LiTiBe3

A relaxed structure of LiTiBe3 (PBEsol, Alexandria).

Unit cell a=3.7463 b=3.7463 c=3.7463 alpha=90.00 beta=90.00 gamma=90.00
Closest atoms and distances in Å follow each position.
Sites, in units of the cell vectors:
Li: 0.0000 0.0000 0.0000  6 Be 1.87
Ti: 0.5000 0.5000 0.5000  12 Be 2.65
Be: 0.0000 0.0000 0.5000  2 Li 1.87
Be: 0.0000 0.5000 0.0000  2 Li 1.87
Be: 0.5000 0.0000 0.0000  2 Li 1.87

## Properties
E_form   0.49 eV/atom
Space group   Pm-3m
E   -19.8 eV for the cell shown

(4)
# Er5BiAu2

A relaxed structure of Er5BiAu2 (PBEsol, Alexandria).

Unit cell a=8.5190 b=8.5190 c=8.5190 alpha=124.46 beta=124.46 gamma=82.44
Closest atoms and distances in Å follow each position.
Sites, in units of the cell vectors:
Er: 0.0000 0.0000 0.0000  4 Au 3.08, 2 Bi 3.20
Er: 0.0137 0.5137 0.8087  3 Au 2.94-2.95
Er: 0.2050 0.0137 0.5000  3 Au 2.94-2.95
Er: 0.2950 0.7950 0.8087  3 Au 2.94-2.95
Er: 0.4863 0.2950 0.5000  3 Au 2.94-2.95
Er: 0.5000 0.5000 0.0000  4 Au 3.08, 2 Bi 3.20
Er: 0.5137 0.7050 0.5000  3 Au 2.94-2.95
Er: 0.7050 0.2050 0.1913  3 Au 2.94-2.95
Er: 0.7950 0.9863 0.5000  3 Au 2.94-2.95
Er: 0.9863 0.4863 0.1913  3 Au 2.94-2.95
Bi: 0.2500 0.2500 0.0000  10 Er 3.20-3.32
Bi: 0.7500 0.7500 0.0000  10 Er 3.20-3.32
Au: 0.1376 0.3624 0.5000  8 Er 2.94-3.08, 1 Au 3.09
Au: 0.3624 0.8624 0.2248  8 Er 2.94-3.08, 1 Au 3.09
Au: 0.6376 0.1376 0.7752  8 Er 2.94-3.08, 1 Au 3.09
Au: 0.8624 0.6376 0.5000  8 Er 2.94-3.08, 1 Au 3.09

## Properties
E_form   -0.72 eV/atom
Space group   I4/mcm
E   -85.1 eV for the cell shown

(5)
# Be2PSe

A relaxed structure of Be2PSe (PBEsol, Alexandria).

Unit cell a=3.1581 b=3.1581 c=6.4223 alpha=90.00 beta=90.00 gamma=117.16
Closest atoms and distances in Å follow each position.
Sites, in units of the cell vectors:
Be: 0.0000 0.0000 0.2307  2 P 2.21, 2 Se 2.39
Be: 0.0000 0.0000 0.7693  2 P 2.21, 2 Se 2.39
P: 0.5000 0.5000 0.0000  4 Be 2.21
Se: 0.5000 0.5000 0.5000  4 Be 2.39

## Properties
Excess energy over the best structure of this formula in the dataset   0.073 eV per atom
Space group   Cmmm
ΔE_f (raw)   0.33 eV per atom
E   -16.3 eV for the cell shown

(6)
# Cs2TlVF6

A relaxed structure of Cs2TlVF6 (PBEsol, Alexandria).

Unit cell a=6.4687 b=6.4687 c=6.4687 alpha=60.00 beta=60.00 gamma=60.00
Closest atoms and distances in Å follow each position.
Sites, in units of the cell vectors:
Cs: 0.2500 0.2500 0.2500  12 F 3.25
Cs: 0.7500 0.7500 0.7500  12 F 3.25
Tl: 0.0000 0.0000 0.0000  6 F 2.63
V: 0.5000 0.5000 0.5000  6 F 1.94
F: 0.2878 0.2878 0.7122  1 V 1.94
F: 0.2878 0.7122 0.2878  1 V 1.94
F: 0.2878 0.7122 0.7122  1 V 1.94
F: 0.7122 0.2878 0.2878  1 V 1.94
F: 0.7122 0.2878 0.7122  1 V 1.94
F: 0.7122 0.7122 0.2878  1 V 1.94

## Properties
Space group   Fm-3m
ΔE_f (raw)   -2.67 eV per atom
E   -52.4 eV for the cell shown

(7)
# AlSbP2

A relaxed structure of AlSbP2 (PBEsol, Alexandria).

Unit cell a=4.6221 b=4.6221 c=4.6221 alpha=109.72 beta=109.72 gamma=108.98
Closest atoms and distances in Å follow each position.
Sites, in units of the cell vectors:
Al: 0.0000 0.0000 0.0000  4 P 2.66, 2 Sb 2.68
Sb: 0.5000 0.5000 0.0000  4 P 2.66, 2 Al 2.68
P: 0.0000 0.5000 0.5000  2 Sb 2.66, 2 Al 2.66, 2 P 2.68
P: 0.5000 0.0000 0.5000  2 Sb 2.66, 2 Al 2.66, 2 P 2.68

## Properties
Excess energy over the best structure of this formula in the dataset   0.153 eV per atom
Space group   I4/mmm
ΔE_f (raw)   0.06 eV per atom
E   -20.0 eV for the cell shown

(8)
# La2SiCl

A relaxed structure of La2SiCl (PBEsol, Alexandria).

Unit cell a=4.2270 b=4.2270 c=5.9108 alpha=90.00 beta=90.00 gamma=90.00
Closest atoms and distances in Å follow each position.
Sites, in units of the cell vectors:
La: 0.0000 0.0000 0.0000  2 Si 2.96, 4 Cl 2.99
La: 0.5000 0.5000 0.5000  2 Cl 2.96, 4 Si 2.99
Si: 0.0000 0.0000 0.5000  6 La 2.96-2.99
Cl: 0.5000 0.5000 0.0000  6 La 2.96-2.99

## Properties
Excess energy over the best structure of this formula in the dataset   0.007 eV per atom
Space group   P4/mmm
ΔE_f (raw)   -1.26 eV per atom
E   -23.5 eV for the cell shown

(9)
# PmDy3

A relaxed structure of PmDy3 (PBEsol, Alexandria).

Unit cell a=6.0444 b=6.0444 c=6.0444 alpha=131.77 beta=131.77 gamma=70.60
Closest atoms and distances in Å follow each position.
Sites, in units of the cell vectors:
Pm: 0.0000 0.0000 0.0000  12 Dy 3.49
Dy: 0.2500 0.7500 0.5000  8 Dy 3.49, 4 Pm 3.49
Dy: 0.5000 0.5000 0.0000  8 Dy 3.49, 4 Pm 3.49
Dy: 0.7500 0.2500 0.5000  8 Dy 3.49, 4 Pm 3.49

## Properties
E_form   0.01 eV/atom
Excess energy over the best structure of this formula in the dataset   0.001 eV per atom
Space group   I4/mmm
E   -20.0 eV for the cell shown

(10)
# LiAs2PdBr

A relaxed structure of LiAs2PdBr (PBEsol, Alexandria).

Unit cell a=4.5922 b=4.5922 c=6.9735 alpha=90.00 beta=90.00 gamma=90.00
Closest atoms and distances in Å follow each position.
Sites, in units of the cell vectors:
Li: 0.0000 0.0000 0.0000  4 Br 3.25
As: 0.0000 0.5000 0.5000  2 Pd 2.30
As: 0.5000 0.0000 0.5000  2 Pd 2.30
Pd: 0.5000 0.5000 0.5000  4 As 2.30
Br: 0.5000 0.5000 0.0000  4 Li 3.25, 2 Pd 3.49

## Properties
Space group   P4/mmm
ΔE_f (raw)   0.10 eV per atom
E   -19.5 eV for the cell shown

(11)
# Hf3SbH

A relaxed structure of Hf3SbH (PBEsol, Alexandria).

Unit cell a=4.3670 b=4.3670 c=4.3670 alpha=90.00 beta=90.00 gamma=90.00
Closest atoms and distances in Å follow each position.
Sites, in units of the cell vectors:
Hf: 0.0000 0.0000 0.5000  2 H 2.18
Hf: 0.0000 0.5000 0.0000  2 H 2.18
Hf: 0.5000 0.0000 0.0000  2 H 2.18
Sb: 0.5000 0.5000 0.5000  12 Hf 3.09
H: 0.0000 0.0000 0.0000  6 Hf 2.18

## Properties
Space group   Pm-3m
E   -41.3 eV for the cell shown

(12)
# TcIr2Ru

A relaxed structure of TcIr2Ru (PBEsol, Alexandria).

Unit cell a=4.6702 b=4.6702 c=4.6702 alpha=131.97 beta=131.97 gamma=70.28
Closest atoms and distances in Å follow each position.
Sites, in units of the cell vectors:
Tc: 0.0000 0.0000 0.0000  4 Ru 2.69, 8 Ir 2.69
Ir: 0.2500 0.7500 0.5000  4 Ir 2.69, 4 Ru 2.69, 4 Tc 2.69
Ir: 0.7500 0.2500 0.5000  4 Ir 2.69, 4 Ru 2.69, 4 Tc 2.69
Ru: 0.5000 0.5000 0.0000  4 Tc 2.69, 8 Ir 2.69

## Properties
E_form   -0.11 eV/atom
Excess energy over the best structure of this formula in the dataset   0.007 eV per atom
Space group   I4/mmm
E   -41.5 eV for the cell shown